No. 1
K2YCr: optimized geometry, PBE.

a = 5.929 Å, b = 5.929 Å, c = 8.457 Å
α = 90.00°, β = 90.00°, γ = 90.00°
Space group I-4m2 (No. 119)
Unique sites:
K  0.000  0.000  0.000 x2
K  0.000  0.500  0.250 x2
Y  0.000  0.500  0.750 x2
Cr  0.000  0.000  0.500 x2

Computed properties:
Its formation energy is 0.94 eV/atom. The calculation puts the relative energy among the computed polymorphs at 366.9 meV per atom. The total magnetization is 5.0 μB per formula unit.

***

No. 2
OsPbN2F: optimized geometry, PBE.

a = 3.846 Å, b = 3.846 Å, c = 4.899 Å
α = 90.00°, β = 90.00°, γ = 90.00°
Space group P4/mmm (No. 123)
Unique sites:
Os  0.000  0.000  0.000 x1
Pb  0.500  0.500  0.500 x1
N  0.000  0.500  0.000 x2
F  0.000  0.000  0.500 x1

Computed properties:
The calculation puts the relative energy among the computed polymorphs at 0.0 meV per atom. The total magnetization is 0.0 μB per formula unit. The value obtained for the raw formation energy is 0.050 eV per atom.

***

No. 3
YGe4Os: optimized geometry, PBE.

a = 11.054 Å, b = 6.393 Å, c = 6.779 Å
α = 90.00°, β = 90.36°, γ = 90.00°
Space group C2/c (No. 15)
Unique sites:
Y  0.000  0.088  0.250 x4
Ge  0.044  0.353  0.913 x8
Ge  0.247  0.384  0.354 x8
Os  0.250  0.250  0.000 x4

Computed properties:
Its formation energy is -0.21 eV/atom. The total magnetization is 0.0 μB per formula unit.

***

No. 4
BaGaSb2I: optimized geometry, PBE.

a = 6.525 Å, b = 6.525 Å, c = 6.620 Å
α = 90.00°, β = 90.00°, γ = 90.00°
Space group P4/mmm (No. 123)
Unique sites:
Ba  0.000  0.000  0.000 x1
Ga  0.500  0.500  0.500 x1
Sb  0.000  0.500  0.000 x2
I  0.000  0.000  0.500 x1

Computed properties:
The calculation puts the relative energy among the computed polymorphs at 785.8 meV per atom. The total magnetization is 1.9 μB per formula unit. The value obtained for the raw formation energy is 0.409 eV per atom.

***

No. 5
Ba2HgP: optimized geometry, PBE.

a = 4.906 Å, b = 4.698 Å, c = 12.141 Å
α = 90.00°, β = 90.00°, γ = 90.00°
Space group Amm2 (No. 38)
Unique sites:
Ba  0.000  0.000  0.000 x2
Ba  0.500  0.000  0.264 x2
Hg  0.500  0.000  0.550 x2
P  0.000  0.000  0.711 x2

Computed properties:
Its formation energy is -0.70 eV/atom. The calculation puts the relative energy among the computed polymorphs at 61.2 meV per atom. The total magnetization is 0.0 μB per formula unit.

***

No. 6
ZrRuSe2: optimized geometry, PBE.

a = 3.9153 Å, b = 3.9153 Å, c = 22.0022 Å
α = 90.00°, β = 90.00°, γ = 120.00°
Space group R3m (No. 160, hexagonal axes)
Unique sites:
Zr  0.0000  0.0000  0.0000 x3
Ru  0.0000  0.0000  0.2503 x3
Se  0.0000  0.0000  0.5556 x3
Se  0.0000  0.0000  0.7369 x3

Computed properties:
The calculation puts the relative energy among the computed polymorphs at 190.1 meV per atom. The total magnetization is 0.0 μB per formula unit. The value obtained for the raw formation energy is -0.512 eV per atom.

***

No. 7
FeRuSe2: optimized geometry, PBE.

a = 3.0724 Å, b = 3.0724 Å, c = 27.6749 Å
α = 90.00°, β = 90.00°, γ = 120.00°
Space group R3m (No. 160, hexagonal axes)
Unique sites:
Fe  0.0000  0.0000  0.0000 x3
Ru  0.0000  0.0000  0.2568 x3
Se  0.0000  0.0000  0.5301 x3
Se  0.0000  0.0000  0.7246 x3

Computed properties:
The calculation puts the relative energy among the computed polymorphs at 292.1 meV per atom. The total magnetization is 2.6 μB per formula unit. The value obtained for the raw formation energy is 0.068 eV per atom.

***

No. 8
AcPuPdO6: optimized geometry, PBE.

a = 5.4232 Å, b = 5.4232 Å, c = 11.0565 Å
α = 90.00°, β = 90.00°, γ = 120.00°
Space group P-31c (No. 163)
Unique sites:
Ac  0.0000  0.0000  0.0000 x2
Pu  0.3333  0.6667  0.2500 x2
Pd  0.3333  0.6667  0.7500 x2
O  0.0035  0.3623  0.6442 x12

Computed properties:
The total magnetization is 3.0 μB per formula unit. The value obtained for the raw formation energy is -2.196 eV per atom.